--- one ---
This record from the Alexandria database describes an optimized crystal structure of CuNiGe3. The functional is PBE.

Cell lengths 4.6052, 4.6052, 4.6052 Å; angles 90.00, 90.00, 90.00 degrees
Space group Pm-3m (No. 221)
Symmetry-distinct sites (fractional):
Cu 0.0000 0.0000 0.0000
Ni 0.5000 0.5000 0.5000
Ge 0.0000 0.0000 0.5000

## Properties
Its volume is 97.7 Å³/f.u.

--- two ---
This record from the Alexandria database describes an optimized crystal structure of CuNiGe3. The functional is PBE.

Cell lengths 4.5630, 4.5630, 4.5630 Å; angles 90.00, 90.00, 90.00 degrees
Space group Pm-3m (No. 221)
Symmetry-distinct sites (fractional):
Cu 0.0000 0.0000 0.0000
Ni 0.5000 0.5000 0.5000
Ge 0.0000 0.5000 0.5000

## Properties
Its volume is 95.0 Å³/f.u.

Stability verdict: two, ahead by 34.0 kJ/mol of atoms